Here is a relaxed SrCl5 crystal from Alexandria via LeMat-Bulk. Energies are from PBE.

The calculation puts the density of states at the Fermi level at 0.260 states/eV/atom. The calculation puts the energy relative to the elements, uncorrected at -1.070 eV/atom. The calculation puts the spin magnetization at 0.00 μB per formula unit. For the excess energy over the best structure of this formula in the dataset, the calculation gives 0.018 eV/atom. Its electronic total energy is -0.1062 hartree per atom.

It has space group Pm (No. 6), with a = 4.471 Å, b = 5.618 Å, c = 8.156 Å, α = 90.00°, β = 103.40° and γ = 90.00°. The asymmetric unit holds Sr at (0.000, 0.000, 0.000), Cl at (0.403, 0.000, 0.778), Cl at (0.542, 0.500, 0.555), Cl at (0.627, 0.000, 0.268), Cl at (0.674, 0.500, 0.333) and Cl at (0.889, 0.500, 0.052).


Here is a relaxed SrCl5 crystal from Alexandria via LeMat-Bulk. Energies are from PBE.

The calculation puts the density of states at the Fermi level at 0.338 states/eV/atom. The calculation puts the energy relative to the elements, uncorrected at -0.687 eV/atom. The calculation puts the spin magnetization at 3.03 μB per formula unit. For the excess energy over the best structure of this formula in the dataset, the calculation gives 0.402 eV/atom. Its electronic total energy is -0.0921 hartree per atom.

It has space group P4/mmm (No. 123), with a = 3.825 Å, b = 3.825 Å, c = 12.367 Å, α = 90.00°, β = 90.00° and γ = 90.00°. The asymmetric unit holds Sr at (0.000, 0.000, 0.000), Cl at (0.000, 0.000, 0.395), Cl at (0.500, 0.500, 0.127) and Cl at (0.500, 0.500, 0.500).


Here is a relaxed Sr4Cl crystal from Alexandria via LeMat-Bulk. Energies are from PBE.

The calculation puts the density of states at the Fermi level at 1.347 states/eV/atom. The calculation puts the energy relative to the elements, uncorrected at -0.595 eV/atom. The calculation puts the spin magnetization at 0.00 μB per formula unit. For the excess energy over the best structure of this formula in the dataset, the calculation gives 0.000 eV/atom. Its electronic total energy is -0.0849 hartree per atom.

It has space group Pm-3m (No. 221), with a = 6.207 Å, b = 6.207 Å, c = 6.207 Å, α = 90.00°, β = 90.00° and γ = 90.00°. The asymmetric unit holds Sr at (0.000, 0.000, 0.000), Sr at (0.000, 0.500, 0.500) and Cl at (0.500, 0.500, 0.500).


Here is a relaxed SrCl5 crystal from Alexandria via LeMat-Bulk. Energies are from PBE.

The calculation puts the density of states at the Fermi level at 0.829 states/eV/atom. The calculation puts the energy relative to the elements, uncorrected at -0.977 eV/atom. The calculation puts the spin magnetization at 0.81 μB per formula unit. For the excess energy over the best structure of this formula in the dataset, the calculation gives 0.111 eV/atom. Its electronic total energy is -0.1028 hartree per atom.

It has space group Amm2 (No. 38), with a = 5.085 Å, b = 4.145 Å, c = 19.760 Å, α = 90.00°, β = 90.00° and γ = 90.00°. The asymmetric unit holds Sr at (0.000, 0.000, 0.000), Cl at (0.000, 0.000, 0.395), Cl at (0.000, 0.000, 0.605), Cl at (0.500, 0.000, 0.230), Cl at (0.500, 0.000, 0.499) and Cl at (0.500, 0.000, 0.769).